VASP calculation (GGA-PBE) on a relaxed PrPuCuPt crystal.

Summary:
N(E_F), states/eV per cell: 11.39
Crystal system: cubic
Space group: F-43m
Formation enthalpy at 0 K, meV/atom: -434
Total magnetization, μB per formula unit: 5.73
ρ, g/cm3: 11.78

Cell: 5.044 5.044 5.044 Å, 60.00 60.00 60.00°
Last column: magnetic moment on the atom in μB.
Element x y z (fractional)
Pr (0.000, 0.000, 0.000)  0.08
Cu (0.250, 0.250, 0.250)  0.02
Pt (0.750, 0.750, 0.750)  -0.06
Pu (0.500, 0.500, 0.500)  5.32



VASP calculation (GGA-PBE) on a relaxed Zn2Cr2As crystal.

Summary:
N(E_F), states/eV per cell: 3.78
Crystal system: tetragonal
Space group: I4/mmm
Formation enthalpy at 0 K, meV/atom: 405
Total magnetization, μB per formula unit: 1.03
ρ, g/cm3: 6.97

Cell: 3.333 3.333 7.047 Å, 76.32 76.32 90.00°
Last column: magnetic moment on the atom in μB.
Element x y z (fractional)
Cr (0.418, 0.418, 0.164)  0.50
Cr (0.582, 0.582, 0.836)  0.50
As (0.000, 0.000, 0.000)  -0.05
Zn (0.750, 0.250, 0.500)  0.01
Zn (0.250, 0.750, 0.500)  0.01



VASP calculation (GGA-PBE) on a relaxed TbGdHoHg crystal.

Summary:
N(E_F), states/eV per cell: 5.11
Crystal system: cubic
Space group: F-43m
Formation enthalpy at 0 K, meV/atom: -67
Total magnetization, μB per formula unit: 7.86
ρ, g/cm3: 10.06

Cell: 5.419 5.419 5.419 Å, 60.00 60.00 60.00°
Last column: magnetic moment on the atom in μB.
Element x y z (fractional)
Gd (0.000, 0.000, 0.000)  7.20
Tb (0.500, 0.500, 0.500)  0.14
Hg (0.250, 0.250, 0.250)  -0.01
Ho (0.750, 0.750, 0.750)  0.21



VASP calculation (GGA-PBE) on a relaxed InGaSn6 crystal.

Summary:
N(E_F), states/eV per cell: 7.14
Crystal system: monoclinic
Space group: C2/m
Formation enthalpy at 0 K, meV/atom: 133
Total magnetization, μB per formula unit: 0.00
ρ, g/cm3: 5.93

Cell: 8.633 8.633 8.712 Å, 109.45 109.21 109.39°
Element x y z (fractional)
In (0.000, 0.500, 0.000)
In (0.500, 0.000, 0.000)
Ga (0.000, 0.000, 0.500)
Ga (0.500, 0.500, 0.500)
Sn (0.140, 0.639, 0.779)
Sn (0.860, 0.361, 0.221)
Sn (0.843, 0.654, 0.497)
Sn (0.157, 0.346, 0.503)
Sn (0.795, 0.140, 0.637)
Sn (0.205, 0.860, 0.363)
Sn (0.497, 0.842, 0.637)
Sn (0.503, 0.158, 0.363)
Sn (0.659, 0.796, 0.160)
Sn (0.341, 0.204, 0.840)
Sn (0.636, 0.499, 0.840)
Sn (0.364, 0.501, 0.160)



Calculated V (Å³/cell), listed in the same order as above: 90.7; 73.8; 112.5; 502.1